# 1
# PBE LaIn4Cu2, relaxed
# Final energy = -0.1359 Ha/atom
# Size of the total moment = 0.00 μB per formula unit
data_LaIn4Cu2
_cell_length_a 4.663
_cell_length_b 7.231
_cell_length_c 18.451
_cell_angle_alpha 90.00
_cell_angle_beta 90.00
_cell_angle_gamma 90.00
_symmetry_space_group_name_H-M 'P 1'
_symmetry_Int_Tables_number 1
_symmetry_space_group_name_Hall 'P 1'
loop_
_atom_site_label
_atom_site_fract_x
_atom_site_fract_y
_atom_site_fract_z
_atom_site_occupancy
In1 0.250 0.274 0.694 1
In2 0.750 0.726 0.306 1
In3 0.750 0.774 0.806 1
In4 0.250 0.226 0.194 1
In5 0.250 0.681 0.683 1
In6 0.750 0.319 0.317 1
In7 0.750 0.181 0.817 1
In8 0.250 0.819 0.183 1
In9 0.250 0.166 0.532 1
In10 0.750 0.834 0.468 1
In11 0.750 0.666 0.968 1
In12 0.250 0.334 0.032 1
In13 0.250 0.504 0.426 1
In14 0.750 0.496 0.574 1
In15 0.750 0.004 0.074 1
In16 0.250 0.996 0.926 1
Cu1 0.250 0.759 0.539 1
Cu2 0.750 0.241 0.461 1
Cu3 0.750 0.259 0.961 1
Cu4 0.250 0.741 0.039 1
Cu5 0.250 0.970 0.780 1
Cu6 0.750 0.030 0.220 1
Cu7 0.750 0.470 0.720 1
Cu8 0.250 0.530 0.280 1
La1 0.750 0.986 0.638 1
La2 0.250 0.014 0.362 1
La3 0.250 0.486 0.862 1
La4 0.750 0.514 0.138 1


# 2
# PBE LiHfAl, relaxed
# Final energy = -0.1944 Ha/atom
# Energy relative to the lowest polymorph listed for this composition = 89 meV per atom
# Size of the total moment = 0.00 μB per formula unit
data_LiHfAl
_cell_length_a 9.270
_cell_length_b 6.621
_cell_length_c 6.621
_cell_angle_alpha 152.69
_cell_angle_beta 141.68
_cell_angle_gamma 38.32
_symmetry_space_group_name_H-M 'P 1'
_symmetry_Int_Tables_number 1
_symmetry_space_group_name_Hall 'P 1'
loop_
_atom_site_label
_atom_site_fract_x
_atom_site_fract_y
_atom_site_fract_z
_atom_site_occupancy
Hf1 0.896 0.889 0.111 1
Hf2 0.128 0.432 0.568 1
Al1 0.439 0.619 0.381 1
Al2 0.785 0.263 0.737 1
Li1 0.600 0.715 0.285 1
Li2 0.294 0.041 0.959 1


# 3
# PBE Ta3TlAu, relaxed
# Final energy = -0.2152 Ha/atom
# Energy relative to the lowest polymorph listed for this composition = 776 meV per atom
# Size of the total moment = 1.04 μB per formula unit
data_Ta3TlAu
_cell_length_a 5.042
_cell_length_b 5.042
_cell_length_c 5.042
_cell_angle_alpha 90.00
_cell_angle_beta 90.00
_cell_angle_gamma 90.00
_symmetry_space_group_name_H-M 'P 1'
_symmetry_Int_Tables_number 1
_symmetry_space_group_name_Hall 'P 1'
loop_
_atom_site_label
_atom_site_fract_x
_atom_site_fract_y
_atom_site_fract_z
_atom_site_occupancy
Tl1 0.000 0.000 0.000 1
Au1 0.500 0.500 0.500 1
Ta1 0.000 0.500 0.000 1
Ta2 0.000 0.000 0.500 1
Ta3 0.500 0.000 0.000 1


# 4
# PBE Ce6In2FeNi, relaxed
# Final energy = -0.2092 Ha/atom
# Size of the total moment = 3.29 μB per formula unit
data_Ce6In2FeNi
_cell_length_a 7.259
_cell_length_b 7.259
_cell_length_c 7.340
_cell_angle_alpha 60.35
_cell_angle_beta 60.35
_cell_angle_gamma 89.98
_symmetry_space_group_name_H-M 'P 1'
_symmetry_Int_Tables_number 1
_symmetry_space_group_name_Hall 'P 1'
loop_
_atom_site_label
_atom_site_fract_x
_atom_site_fract_y
_atom_site_fract_z
_atom_site_occupancy
Ce1 0.257 0.257 0.486 1
Ce2 0.760 0.759 0.000 1
Ce3 0.240 0.760 0.000 1
Ce4 0.760 0.240 0.000 1
Ce5 0.240 0.240 0.000 1
Ce6 0.743 0.743 0.514 1
In1 0.750 0.250 0.500 1
In2 0.250 0.750 0.500 1
Fe1 0.000 0.000 0.000 1
Ni1 0.500 0.500 0.000 1


# 5
# PBE SmPu2Au, relaxed
# Final energy = -0.3394 Ha/atom
# Energy relative to the lowest polymorph listed for this composition = 0 meV per atom
# Size of the total moment = 12.09 μB per formula unit
data_SmPu2Au
_cell_length_a 3.823
_cell_length_b 3.823
_cell_length_c 7.418
_cell_angle_alpha 90.00
_cell_angle_beta 90.00
_cell_angle_gamma 90.00
_symmetry_space_group_name_H-M 'P 1'
_symmetry_Int_Tables_number 1
_symmetry_space_group_name_Hall 'P 1'
loop_
_atom_site_label
_atom_site_fract_x
_atom_site_fract_y
_atom_site_fract_z
_atom_site_occupancy
Au1 0.500 0.500 0.000 1
Sm1 0.500 0.500 0.500 1
Pu1 0.000 0.000 0.789 1
Pu2 0.000 0.000 0.211 1


# 6
# PBE ZrCd2I, relaxed
# Final energy = -0.0886 Ha/atom
# Energy relative to the lowest polymorph listed for this composition = 306 meV per atom
# Size of the total moment = 1.93 μB per formula unit
data_ZrCd2I
_cell_length_a 5.356
_cell_length_b 5.356
_cell_length_c 5.356
_cell_angle_alpha 60.00
_cell_angle_beta 60.00
_cell_angle_gamma 60.00
_symmetry_space_group_name_H-M 'P 1'
_symmetry_Int_Tables_number 1
_symmetry_space_group_name_Hall 'P 1'
loop_
_atom_site_label
_atom_site_fract_x
_atom_site_fract_y
_atom_site_fract_z
_atom_site_occupancy
I1 0.500 0.500 0.500 1
Zr1 0.000 0.000 0.000 1
Cd1 0.250 0.250 0.250 1
Cd2 0.750 0.750 0.750 1


# 7
# PBE Pm6BeZn5, relaxed
# Final energy = -0.1266 Ha/atom
# Size of the total moment = 0.00 μB per formula unit
data_Pm6BeZn5
_cell_length_a 5.132
_cell_length_b 7.278
_cell_length_c 8.894
_cell_angle_alpha 114.15
_cell_angle_beta 106.77
_cell_angle_gamma 90.00
_symmetry_space_group_name_H-M 'P 1'
_symmetry_Int_Tables_number 1
_symmetry_space_group_name_Hall 'P 1'
loop_
_atom_site_label
_atom_site_fract_x
_atom_site_fract_y
_atom_site_fract_z
_atom_site_occupancy
Be1 0.000 0.000 0.000 1
Zn1 0.670 0.170 0.339 1
Zn2 0.333 0.333 0.667 1
Zn3 0.000 0.500 0.000 1
Zn4 0.667 0.667 0.333 1
Zn5 0.330 0.830 0.661 1
Pm1 0.836 0.590 0.673 1
Pm2 0.836 0.082 0.673 1
Pm3 0.500 0.758 0.000 1
Pm4 0.500 0.242 0.000 1
Pm5 0.164 0.918 0.327 1
Pm6 0.164 0.410 0.327 1


# 8
# PBE KTcRu2, relaxed
# Final energy = -0.2443 Ha/atom
# Energy relative to the lowest polymorph listed for this composition = 209 meV per atom
# Size of the total moment = 0.10 μB per formula unit
data_KTcRu2
_cell_length_a 4.660
_cell_length_b 4.660
_cell_length_c 6.887
_cell_angle_alpha 83.64
_cell_angle_beta 83.64
_cell_angle_gamma 35.08
_symmetry_space_group_name_H-M 'P 1'
_symmetry_Int_Tables_number 1
_symmetry_space_group_name_Hall 'P 1'
loop_
_atom_site_label
_atom_site_fract_x
_atom_site_fract_y
_atom_site_fract_z
_atom_site_occupancy
K1 0.250 0.250 0.250 1
Ru1 0.026 0.026 0.894 1
Ru2 0.474 0.474 0.606 1
Tc1 0.750 0.750 0.750 1


Short version: N(E_F) = 3.0; 1.9; 10.1; 28.0; 13.7; 5.1; 13.0; 6.3 states/eV/f.u., in the order given.